Crystalline AlSn2TeAs at its relaxed geometry. Source: Alexandria, functional PBE.

Geometry as CIF:
```
data_AlSn2TeAs
_chemical_formula_sum 'Al1 Sn2 Te1 As1'
_space_group_name_H-M_alt 'P 4/m m m'
_space_group_IT_number 123
_space_group_name_Hall '-P 4 2'
_cell_length_a 5.2516
_cell_length_b 5.2516
_cell_length_c 5.3035
_cell_angle_alpha 90.00
_cell_angle_beta 90.00
_cell_angle_gamma 90.00
loop_
_atom_site_label
_atom_site_type_symbol
_atom_site_fract_x
_atom_site_fract_y
_atom_site_fract_z
Al1 Al 0.0000 0.0000 0.0000
Sn1 Sn 0.0000 0.5000 0.0000
Te1 Te 0.0000 0.0000 0.5000
As1 As 0.5000 0.5000 0.5000
```

## Properties
For the theoretical density, the calculation gives 5.30 Mg/m³. The uncorrected formation energy comes out at 0.524 eV per atom. For the total magnetization, the calculation gives 0.0 μB/f.u. As for the total energy: -16.9 eV/cell.

---

Crystalline AlVSn2As at its relaxed geometry. Source: Alexandria, functional PBE.

Geometry as CIF:
```
data_AlVSn2As
_chemical_formula_sum 'Al1 V1 Sn2 As1'
_space_group_name_H-M_alt 'P 4/m m m'
_space_group_IT_number 123
_space_group_name_Hall '-P 4 2'
_cell_length_a 5.1480
_cell_length_b 5.1480
_cell_length_c 4.7528
_cell_angle_alpha 90.00
_cell_angle_beta 90.00
_cell_angle_gamma 90.00
loop_
_atom_site_label
_atom_site_type_symbol
_atom_site_fract_x
_atom_site_fract_y
_atom_site_fract_z
Al1 Al 0.0000 0.0000 0.0000
V1 V 0.0000 0.0000 0.5000
Sn1 Sn 0.0000 0.5000 0.0000
As1 As 0.5000 0.5000 0.5000
```

## Properties
For the theoretical density, the calculation gives 5.14 Mg/m³. The calculation puts the formation enthalpy at 0 K at 968 meV per atom. For the total magnetization, the calculation gives 0.2 μB/f.u. As for the total energy: -20.7 eV/cell.

---

Crystalline AlZnSn2As4 at its relaxed geometry. Source: Alexandria, functional PBE.

Geometry as CIF:
```
data_AlZnSn2As4
_chemical_formula_sum 'Al4 Zn4 Sn8 As16'
_space_group_name_H-M_alt 'F m m 2'
_space_group_IT_number 42
_space_group_name_Hall 'F 2 -2'
_cell_length_a 8.4499
_cell_length_b 8.7523
_cell_length_c 11.7694
_cell_angle_alpha 90.00
_cell_angle_beta 90.00
_cell_angle_gamma 90.00
loop_
_atom_site_label
_atom_site_type_symbol
_atom_site_fract_x
_atom_site_fract_y
_atom_site_fract_z
Al1 Al 0.0000 0.0000 0.0000
Zn1 Zn 0.0000 0.0000 0.4988
Sn1 Sn 0.2500 0.2500 0.2510
As1 As 0.0000 0.2487 0.1081
As2 As 0.2487 0.0000 0.8853
```

## Properties
For the theoretical density, the calculation gives 4.80 Mg/m³. The calculation puts the formation enthalpy at 0 K at -171 meV per atom. For the total magnetization, the calculation gives 0.0 μB/f.u. As for the total energy: -132.0 eV/cell.

---

Crystalline SrAl4As at its relaxed geometry. Source: Alexandria, functional PBE.

Geometry as CIF:
```
data_SrAl4As
_chemical_formula_sum 'Sr4 Al16 As4'
_space_group_name_H-M_alt 'F -4 3 m'
_space_group_IT_number 216
_space_group_name_Hall 'F -4 2 3'
_cell_length_a 8.0058
_cell_length_b 8.0058
_cell_length_c 8.0058
_cell_angle_alpha 90.00
_cell_angle_beta 90.00
_cell_angle_gamma 90.00
loop_
_atom_site_label
_atom_site_type_symbol
_atom_site_fract_x
_atom_site_fract_y
_atom_site_fract_z
Sr1 Sr 0.0000 0.0000 0.0000
Al1 Al 0.1242 0.1242 0.6242
As1 As 0.2500 0.2500 0.2500
```

## Properties
For the theoretical density, the calculation gives 3.50 Mg/m³. The calculation puts the formation enthalpy at 0 K at 31 meV per atom. For the total magnetization, the calculation gives 0.0 μB/f.u. As for the total energy: -84.5 eV/cell.

---

Crystalline Sr2AlAs2 at its relaxed geometry. Source: Alexandria, functional PBE.

Geometry as CIF:
```
data_Sr2AlAs2
_chemical_formula_sum 'Sr8 Al4 As8'
_space_group_name_H-M_alt 'C 1 2/c 1'
_space_group_IT_number 15
_space_group_name_Hall '-C 2yc'
_cell_length_a 9.2761
_cell_length_b 12.9887
_cell_length_c 6.4779
_cell_angle_alpha 90.00
_cell_angle_beta 134.23
_cell_angle_gamma 90.00
loop_
_atom_site_label
_atom_site_type_symbol
_atom_site_fract_x
_atom_site_fract_y
_atom_site_fract_z
Sr1 Sr 0.1859 0.1440 0.1859
Al1 Al 0.0000 0.5001 0.2500
As1 As 0.2080 0.3884 0.2074
```

## Properties
For the theoretical density, the calculation gives 4.18 Mg/m³. The calculation puts the formation enthalpy at 0 K at -846 meV per atom. For the distance to the lowest polymorph of the same formula, the calculation gives 0 meV per atom. For the total magnetization, the calculation gives 0.0 μB/f.u. As for the total energy: -82.5 eV/cell.

---

Crystalline Sr4AlAs4 at its relaxed geometry. Source: Alexandria, functional PBE.

Geometry as CIF:
```
data_Sr4AlAs4
_chemical_formula_sum 'Sr8 Al2 As8'
_space_group_name_H-M_alt 'P 42/n m c'
_space_group_IT_number 137
_cell_length_a 9.0313
_cell_length_b 9.0313
_cell_length_c 6.5934
_cell_angle_alpha 90.00
_cell_angle_beta 90.00
_cell_angle_gamma 90.00
loop_
_space_group_symop_operation_xyz
'x,y,z'
'-x,-y,-z'
'-y+1/2,x,z+1/2'
'y+1/2,-x,-z+1/2'
'-x+1/2,-y+1/2,z'
'x+1/2,y+1/2,-z'
'y,-x+1/2,z+1/2'
'-y,x+1/2,-z+1/2'
'x+1/2,-y,-z'
'-x+1/2,y,z'
'-y,-x,-z+1/2'
'y,x,z+1/2'
'-x,y+1/2,-z'
'x,-y+1/2,z'
'y+1/2,x+1/2,-z+1/2'
'-y+1/2,-x+1/2,z+1/2'
loop_
_atom_site_label
_atom_site_type_symbol
_atom_site_fract_x
_atom_site_fract_y
_atom_site_fract_z
Sr1 Sr 0.0184 0.2500 0.0619
Al1 Al 0.2500 0.7500 0.2500
As1 As 0.0175 0.7500 0.4558
```

## Properties
For the theoretical density, the calculation gives 4.18 Mg/m³. The calculation puts the formation enthalpy at 0 K at -1016 meV per atom. For the total magnetization, the calculation gives 0.0 μB/f.u. As for the total energy: -76.4 eV/cell.

---

Crystalline SrAlAs at its relaxed geometry. Source: Alexandria, functional PBE.

Geometry as CIF:
```
data_SrAlAs
_chemical_formula_sum 'Sr6 Al6 As6'
_space_group_name_H-M_alt 'R -3 m'
_space_group_IT_number 166
_space_group_name_Hall '-R 3 2"'
_cell_length_a 5.1679
_cell_length_b 5.1679
_cell_length_c 25.7264
_cell_angle_alpha 90.00
_cell_angle_beta 90.00
_cell_angle_gamma 120.00
loop_
_atom_site_label
_atom_site_type_symbol
_atom_site_fract_x
_atom_site_fract_y
_atom_site_fract_z
Sr1 Sr 0.0000 0.0000 0.1011
Al1 Al 0.0000 0.0000 0.3163
As1 As 0.0000 0.0000 0.2231
```

## Properties
For the theoretical density, the calculation gives 3.17 Mg/m³. The calculation puts the formation enthalpy at 0 K at -422 meV per atom. For the total magnetization, the calculation gives 0.0 μB/f.u. As for the total energy: -68.0 eV/cell.

---

Crystalline SrAlAs at its relaxed geometry. Source: Alexandria, functional PBE.

Geometry as CIF:
```
data_SrAlAs
_chemical_formula_sum 'Sr2 Al2 As2'
_space_group_name_H-M_alt 'I 4 m m'
_space_group_IT_number 107
_space_group_name_Hall 'I 4 -2'
_cell_length_a 3.6256
_cell_length_b 3.6256
_cell_length_c 11.2026
_cell_angle_alpha 90.00
_cell_angle_beta 90.00
_cell_angle_gamma 90.00
loop_
_atom_site_label
_atom_site_type_symbol
_atom_site_fract_x
_atom_site_fract_y
_atom_site_fract_z
Sr1 Sr 0.0000 0.0000 0.0000
Al1 Al 0.0000 0.0000 0.2913
As1 As 0.0000 0.0000 0.7018
```

## Properties
For the theoretical density, the calculation gives 4.27 Mg/m³. The calculation puts the formation enthalpy at 0 K at -437 meV per atom. For the total magnetization, the calculation gives 0.0 μB/f.u. As for the total energy: -22.8 eV/cell.

---

Crystalline SrAlAs at its relaxed geometry. Source: Alexandria, functional PBE.

Geometry as CIF:
```
data_SrAlAs
_chemical_formula_sum 'Sr1 Al1 As1'
_space_group_name_H-M_alt 'P -6 m 2'
_space_group_IT_number 187
_space_group_name_Hall 'P -6 2'
_cell_length_a 4.4847
_cell_length_b 4.4847
_cell_length_c 4.4454
_cell_angle_alpha 90.00
_cell_angle_beta 90.00
_cell_angle_gamma 120.00
loop_
_atom_site_label
_atom_site_type_symbol
_atom_site_fract_x
_atom_site_fract_y
_atom_site_fract_z
Sr1 Sr 0.0000 0.0000 0.0000
Al1 Al 0.6667 0.3333 0.5000
As1 As 0.3333 0.6667 0.5000
```

## Properties
For the theoretical density, the calculation gives 4.06 Mg/m³. The calculation puts the formation enthalpy at 0 K at -572 meV per atom. For the total magnetization, the calculation gives 0.0 μB/f.u. As for the total energy: -11.8 eV/cell.

---

Crystalline Sr3AlAs3 at its relaxed geometry. Source: Alexandria, functional PBE.

Geometry as CIF:
```
data_Sr3AlAs3
_chemical_formula_sum 'Sr24 Al8 As24'
_space_group_name_H-M_alt 'C m c e'
_space_group_IT_number 64
_space_group_name_Hall '-C 2ac 2'
_cell_length_a 19.3243
_cell_length_b 6.6214
_cell_length_c 12.7976
_cell_angle_alpha 90.00
_cell_angle_beta 90.00
_cell_angle_gamma 90.00
loop_
_atom_site_label
_atom_site_type_symbol
_atom_site_fract_x
_atom_site_fract_y
_atom_site_fract_z
Sr1 Sr 0.0000 0.1753 0.1505
Sr2 Sr 0.1770 0.1883 0.8691
Al1 Al 0.0849 0.0000 0.5000
As1 As 0.0000 0.2093 0.3971
As2 As 0.1588 0.2050 0.6205
```

## Properties
For the theoretical density, the calculation gives 4.17 Mg/m³. The calculation puts the formation enthalpy at 0 K at -1069 meV per atom. For the total magnetization, the calculation gives 0.0 μB/f.u. As for the total energy: -241.7 eV/cell.

---

Crystalline Sr3Al2As4 at its relaxed geometry. Source: Alexandria, functional PBE.

Geometry as CIF:
```
data_Sr3Al2As4
_chemical_formula_sum 'Sr12 Al8 As16'
_space_group_name_H-M_alt 'C 1 2/c 1'
_space_group_IT_number 15
_space_group_name_Hall '-C 2yc'
_cell_length_a 13.6333
_cell_length_b 10.5449
_cell_length_c 6.8797
_cell_angle_alpha 90.00
_cell_angle_beta 90.42
_cell_angle_gamma 90.00
loop_
_atom_site_label
_atom_site_type_symbol
_atom_site_fract_x
_atom_site_fract_y
_atom_site_fract_z
Sr1 Sr 0.0000 0.0980 0.2500
Sr2 Sr 0.1230 0.3709 0.5387
Al1 Al 0.2052 0.1235 0.9189
As1 As 0.1158 0.3245 0.0243
As2 As 0.1587 0.0825 0.5740
```

## Properties
For the theoretical density, the calculation gives 4.14 Mg/m³. The calculation puts the formation enthalpy at 0 K at -973 meV per atom. For the distance to the lowest polymorph of the same formula, the calculation gives 0 meV per atom. For the total magnetization, the calculation gives 0.0 μB/f.u. As for the total energy: -159.5 eV/cell.

---

Q: What is the theoretical density in the tenth record?
A: 4.17 Mg/m³